[1]
Computed, not measured: a PBEsol-optimized structure of Sc3CdSb at the SCAN level of DFT.

Values from the calculation:
ΔE_f (raw), eV per atom: 0.057

a b c (Å): 5.2553 5.2553 5.2553
angles (deg): 90.00 90.00 90.00
Closest atoms and distances in Å follow each position.
Fractional coordinates of all 5 atoms:
Sc1 0.0000 0.5000 0.0000  2 Sb 2.63
Sc2 0.0000 0.0000 0.5000  2 Sb 2.63
Sc3 0.5000 0.0000 0.0000  2 Sb 2.63
Sb1 0.0000 0.0000 0.0000  6 Sc 2.63
Cd1 0.5000 0.5000 0.5000  12 Sc 3.72

[2]
Computed, not measured: a PBEsol-optimized structure of Na2H2Se at the SCAN level of DFT.

Values from the calculation:
Energy, eV per cell: -76.623

a b c (Å): 3.7889 6.5923 6.5923
angles (deg): 90.00 90.00 90.00
Closest atoms and distances in Å follow each position.
Fractional coordinates of all 10 atoms:
Na1 0.5000 0.2314 0.7314  6 H 2.84-2.90, 4 Se 3.01
Na2 0.5000 0.7314 0.7686  6 H 2.84-2.90, 4 Se 3.01
Na3 0.5000 0.7686 0.2686  6 H 2.84-2.90, 4 Se 3.01
Na4 0.5000 0.2686 0.2314  6 H 2.84-2.90, 4 Se 3.01
Se1 0.0000 0.0000 0.0000  8 Na 3.01, 4 H 3.03
Se2 0.0000 0.5000 0.5000  8 Na 3.01, 4 H 3.03
H1 0.0000 0.4580 0.9580  1 H 0.78
H2 0.0000 0.9580 0.5420  1 H 0.78
H3 0.0000 0.5420 0.0420  1 H 0.78
H4 0.0000 0.0420 0.4580  1 H 0.78

[3]
Computed, not measured: a PBEsol-optimized structure of Ca3Mg3Cu at the SCAN level of DFT.

Values from the calculation:
Formation energy, eV per atom: -0.03

a b c (Å): 4.6216 9.8359 9.8359
angles (deg): 120.00 90.00 90.00
Closest atoms and distances in Å follow each position.
Fractional coordinates of all 14 atoms:
Ca1 0.7500 0.8358 0.6717  1 Cu 2.88
Ca2 0.7500 0.8358 0.1642  1 Cu 2.88
Ca3 0.7500 0.3283 0.1642  1 Cu 2.88
Ca4 0.2500 0.1642 0.3283  1 Cu 2.88
Ca5 0.2500 0.1642 0.8358  1 Cu 2.88
Ca6 0.2500 0.6717 0.8358  1 Cu 2.88
Cu1 0.7500 0.6667 0.3333  3 Ca 2.88, 6 Mg 2.90
Cu2 0.2500 0.3333 0.6667  3 Ca 2.88, 6 Mg 2.90
Mg1 0.7500 0.4364 0.8729  2 Cu 2.90, 4 Mg 3.04-3.17
Mg2 0.7500 0.4364 0.5636  2 Cu 2.90, 4 Mg 3.04-3.17
Mg3 0.7500 0.1271 0.5636  2 Cu 2.90, 4 Mg 3.04-3.17
Mg4 0.2500 0.5636 0.1271  2 Cu 2.90, 4 Mg 3.04-3.17
Mg5 0.2500 0.5636 0.4364  2 Cu 2.90, 4 Mg 3.04-3.17
Mg6 0.2500 0.8729 0.4364  2 Cu 2.90, 4 Mg 3.04-3.17

[4]
Computed, not measured: a PBEsol-optimized structure of K2MgTc at the SCAN level of DFT.

Values from the calculation:
Formation energy, eV per atom: 1.14

a b c (Å): 2.9141 5.3611 6.0595
angles (deg): 90.00 90.00 90.00
Closest atoms and distances in Å follow each position.
Fractional coordinates of all 4 atoms:
K1 0.0000 0.0000 0.0000  6 K 2.91-3.05
K2 0.5000 0.5000 0.0000  6 K 2.91-3.05
Mg1 0.5000 0.0000 0.5000  2 Mg 2.91, 4 Tc 3.05
Tc1 0.0000 0.5000 0.5000  2 Tc 2.91, 4 Mg 3.05

[5]
Computed, not measured: a PBEsol-optimized structure of BeTc4Os at the SCAN level of DFT.

Values from the calculation:
Formation energy, eV per atom: 0.49

a b c (Å): 4.9478 4.9478 4.9478
angles (deg): 60.00 60.00 60.00
Closest atoms and distances in Å follow each position.
Fractional coordinates of all 6 atoms:
Be1 0.7500 0.7500 0.7500  12 Tc 2.90, 4 Os 3.03
Os1 0.0000 0.0000 0.0000  12 Tc 2.90, 4 Be 3.03
Tc1 0.3765 0.3765 0.3765  6 Tc 2.44-2.50
Tc2 0.3765 0.3765 0.8706  6 Tc 2.44-2.50
Tc3 0.8706 0.3765 0.3765  6 Tc 2.44-2.50
Tc4 0.3765 0.8706 0.3765  6 Tc 2.44-2.50

[6]
Computed, not measured: a PBEsol-optimized structure of TcPb2AuO at the SCAN level of DFT.

Values from the calculation:
ΔE_f (raw), eV per atom: -0.193

a b c (Å): 3.6556 5.4104 5.4104
angles (deg): 90.00 90.00 90.00
Closest atoms and distances in Å follow each position.
Fractional coordinates of all 5 atoms:
Pb1 0.0000 0.0000 0.5000  2 Tc 2.71
Pb2 0.0000 0.5000 0.0000  2 Tc 2.71
Au1 0.5000 0.5000 0.5000  8 Pb 3.26, 2 Au 3.66
Tc1 0.0000 0.0000 0.0000  2 O 1.83
O1 0.5000 0.0000 0.0000  2 Tc 1.83